First-principles (PBE+U) data for an optimized crystal structure of Ba3SrCa2Mo2O12, as listed in Alexandria. Values from VASP.

```
&SYSTEM
  ibrav = 0, nat = 20, ntyp = 5
/
ATOMIC_SPECIES
Ba 137.33 Ba.upf
Sr 87.62 Sr.upf
Ca 40.08 Ca.upf
Mo 95.94 Mo.upf
O 16.00 O.upf
CELL_PARAMETERS angstrom
-1.6178 -5.2201 2.4410
0.0070 -2.5371 -5.4211
8.1488 -2.0679 0.9783
ATOMIC_POSITIONS crystal
Ba 0.0000 0.0000 0.0000
Ba 0.5000 0.5000 0.0000
Ba 0.0000 0.0000 0.5000
Sr 0.5000 0.5000 0.5000
Ca 0.5000 0.0000 0.2498
Ca 0.0000 0.5000 0.7502
Mo 0.5000 0.0000 0.7466
Mo 0.0000 0.5000 0.2534
O 0.5000 0.0000 0.5176
O 0.0000 0.5000 0.0218
O 0.7684 0.7290 0.2537
O 0.2710 0.2316 0.7463
O 0.2316 0.7290 0.2537
O 0.7290 0.2316 0.7463
O 0.5000 0.0000 0.9782
O 0.0000 0.5000 0.4824
O 0.2316 0.2710 0.2537
O 0.7290 0.7684 0.7463
O 0.7684 0.2710 0.2537
O 0.2710 0.7684 0.7463
```

Results
**Raw total energy**: -6.780 eV/atom
**Space-group type**: P-4m2, No. 115